No. 1
Density functional theory data (PBE) for AcInNiPd after structural relaxation.

Calculated values
ΔE_f = -0.529 eV per atom
energy above the most stable polymorph in this dataset = 0 meV/atom
mass density = 9.10 Mg/m³

```
AcInNiPd
1.0
4.5938 0.0000 0.0000
-2.2969 3.9774 -0.0064
0.0000 -2.6526 5.0645
Ac Pd In Ni
1 1 1 1
Direct
0.6167 0.2335 0.4925 Ac
0.4100 0.8199 0.8719 Pd
0.1236 0.2472 0.0128 In
0.8160 0.6320 0.0902 Ni
```

---

No. 2
Density functional theory data (PBE) for Ac2InNiPd6 after structural relaxation.

Calculated values
ΔE_f = -0.567 eV per atom
mass density = 9.65 Mg/m³

```
Ac2InNiPd6
1.0
-0.7742 1.3133 6.6267
-6.8754 0.6949 0.1325
-5.9588 -3.1525 5.6664
Pd Ac Ni In
6 2 1 1
Direct
0.7597 0.7489 0.0033 Pd
0.2515 0.2411 0.5114 Pd
0.7532 0.2464 0.8390 Pd
0.2403 0.2511 0.9967 Pd
0.2468 0.7536 0.1610 Pd
0.7485 0.7589 0.4886 Pd
0.2637 0.7365 0.5314 Ac
0.7363 0.2635 0.4686 Ac
0.0000 0.0000 0.0000 Ni
0.5000 0.5000 0.0000 In
```

---

No. 3
Density functional theory data (PBE) for AcInNiPd after structural relaxation.

Calculated values
ΔE_f = -0.354 eV per atom
energy above the most stable polymorph in this dataset = 175 meV/atom
mass density = 9.51 Mg/m³

```
AcInNiPd
1.0
5.0033 0.0000 0.0000
2.5016 4.3329 0.0000
2.5016 1.4443 4.0851
In Ni Pd Ac
1 1 1 1
Direct
0.2500 0.2500 0.2500 In
0.0000 0.0000 0.0000 Ni
0.5000 0.5000 0.5000 Pd
0.7500 0.7500 0.7500 Ac
```